DFT (PBE) results for a relaxed Sc2CdBr2 crystal.

```
Sc2CdBr2
1.0
-0.212 4.743 4.562
4.270 4.982 -0.542
-4.272 -3.146 -3.899
Sc Br Cd
2 2 1
Direct
0.250 0.750 0.500 Sc
0.750 0.250 0.500 Sc
0.357 0.357 0.000 Br
0.643 0.643 0.000 Br
0.000 0.000 0.000 Cd
```

Properties
Its formation energy without anion corrections is -506 meV/atom. The size of the total moment is 0.09 μB per atom.